Record 1
Density functional theory data (GGA-PBE) for an optimized crystal structure of TbTmGa4Ni2.

a b c (Å): 6.6981 4.1056 10.0248
angles (deg): 90.00 90.00 90.00
Fractional positions:
Tb (0.0000, 0.0000, 0.0000)
Tb (0.0000, 0.5000, 0.5000)
Tm (0.5000, 0.0000, 0.1440)
Tm (0.5000, 0.5000, 0.6440)
Ga (0.1975, 0.0000, 0.7147)
Ga (0.1975, 0.5000, 0.2147)
Ga (0.3051, 0.0000, 0.4278)
Ga (0.3051, 0.5000, 0.9278)
Ga (0.6949, 0.0000, 0.4278)
Ga (0.6949, 0.5000, 0.9278)
Ga (0.8025, 0.0000, 0.7147)
Ga (0.8025, 0.5000, 0.2147)
Ni (0.0000, 0.0000, 0.2833)
Ni (0.0000, 0.5000, 0.7833)
Ni (0.5000, 0.0000, 0.8607)
Ni (0.5000, 0.5000, 0.3607)

Values from the calculation:
Calculated total energy   -4.70 eV per atom
Magnetic moment   0.001 μB/atom


Record 2
Density functional theory data (GGA-PBE) for an optimized crystal structure of ErZnO3.

a b c (Å): 5.6882 5.6882 5.6882
angles (deg): 57.16 57.16 57.16
Fractional positions:
Er (0.1356, 0.1356, 0.1356)
Er (0.8644, 0.8644, 0.8644)
Zn (0.3514, 0.3514, 0.3514)
Zn (0.6486, 0.6486, 0.6486)
O (0.0549, 0.7206, 0.4691)
O (0.2794, 0.5309, 0.9451)
O (0.4691, 0.0549, 0.7206)
O (0.5309, 0.9451, 0.2794)
O (0.7206, 0.4691, 0.0549)
O (0.9451, 0.2794, 0.5309)

Values from the calculation:
Calculated total energy   -6.23 eV per atom
Magnetic moment   0.200 μB/atom